Computed, not measured: a geometry-optimized NdDyMo2O8 structure at the GGA+U level of DFT.

**Symmetry**: I-4, No. 82
**Crystal system**: tetragonal
**V**: 159.3 Å³/f.u.
**E**: -7.70 eV/atom

Structure (POSCAR):
```
NdDyMo2O8
1.0
-2.6577 2.6577 5.6370
2.6577 -2.6577 5.6370
2.6577 2.6577 -5.6370
Nd Dy Mo O
1 1 2 8
Direct
0.0000 0.0000 0.0000
0.2500 0.7500 0.5000
0.5000 0.5000 0.0000
0.7500 0.2500 0.5000
0.0256 0.0767 0.4240
0.2435 0.6451 0.0638
0.3549 0.4187 0.5984
0.3983 0.9744 0.0511
0.5813 0.1797 0.9362
0.6528 0.6017 0.5760
0.8203 0.7565 0.4016
0.9233 0.3472 0.9489
```